[1]
Computed, not measured: a relaxed structure of Ho2Be4SiPt3 at the PBE-GGA level of DFT.

Results
Symmetry = No. 115

Geometry as CIF:
```
data_Ho2Be4SiPt3
_cell_length_a 3.8421
_cell_length_b 3.8421
_cell_length_c 10.1686
_cell_angle_alpha 90.00
_cell_angle_beta 90.00
_cell_angle_gamma 90.00
_symmetry_space_group_name_H-M 'P 1'
_symmetry_Int_Tables_number 1
loop_
_symmetry_equiv_pos_as_xyz
'x,y,z'
loop_
_atom_site_label
_atom_site_type_symbol
_atom_site_fract_x
_atom_site_fract_y
_atom_site_fract_z
_atom_site_occupancy
Ho1 Ho 0.0000 0.5000 0.2505 1
Ho2 Ho 0.5000 0.0000 0.7495 1
Be1 Be 0.0000 0.0000 0.0000 1
Be2 Be 0.0000 0.5000 0.6368 1
Be3 Be 0.5000 0.0000 0.3632 1
Be4 Be 0.5000 0.5000 0.0000 1
Si1 Si 0.0000 0.0000 0.5000 1
Pt1 Pt 0.0000 0.5000 0.8720 1
Pt2 Pt 0.5000 0.0000 0.1280 1
Pt3 Pt 0.5000 0.5000 0.5000 1
```



[2]
Computed, not measured: a relaxed structure of AlCoP2Cl at the PBE-GGA level of DFT.

Results
Symmetry = No. 123
Relative energy among the computed polymorphs = 0 meV per atom

Geometry as CIF:
```
data_AlCoP2Cl
_cell_length_a 4.2792
_cell_length_b 4.2792
_cell_length_c 5.1287
_cell_angle_alpha 90.00
_cell_angle_beta 90.00
_cell_angle_gamma 90.00
_symmetry_space_group_name_H-M 'P 1'
_symmetry_Int_Tables_number 1
loop_
_symmetry_equiv_pos_as_xyz
'x,y,z'
loop_
_atom_site_label
_atom_site_type_symbol
_atom_site_fract_x
_atom_site_fract_y
_atom_site_fract_z
_atom_site_occupancy
Al1 Al 0.0000 0.0000 0.0000 1
Co1 Co 0.5000 0.5000 0.5000 1
P1 P 0.0000 0.5000 0.5000 1
P2 P 0.5000 0.0000 0.5000 1
Cl1 Cl 0.5000 0.5000 0.0000 1
```



no.,E_form (uncorrected) (eV/atom)
1,-0.79
2,0.34